No. 1
# CaAg2Bi

A geometry-optimized CaAg2Bi structure (PBE, the Alexandria database).

Structure (POSCAR):
```
CaAg2Bi
1.0
4.538 0.000 0.000
0.000 4.538 0.000
0.000 0.000 20.919
Ca Ag Bi
4 8 4
Direct
0.000 0.000 0.000
0.000 0.500 0.250
0.500 0.000 0.750
0.500 0.500 0.500
0.211 0.250 0.625
0.250 0.711 0.875
0.250 0.789 0.375
0.289 0.250 0.125
0.711 0.750 0.125
0.750 0.211 0.375
0.750 0.289 0.875
0.789 0.750 0.625
0.000 0.000 0.500
0.000 0.500 0.750
0.500 0.000 0.250
0.500 0.500 0.000
```

Values from the calculation:
* total DFT energy (no corrections): -3.00 eV/atom
* SG: I-42d, No. 122
* DOS at the Fermi energy: 6.069 states/eV/cell
* crystal system: tetragonal

No. 2
# CaAg9Bi2

A geometry-optimized CaAg9Bi2 structure (PBE, the Alexandria database).

Structure (POSCAR):
```
CaAg9Bi2
1.0
2.857 1.650 9.195
-2.857 1.650 9.195
0.000 -3.299 9.195
Ca Ag Bi
1 9 2
Direct
0.000 0.000 0.000
0.081 0.586 0.586
0.334 0.334 0.334
0.414 0.414 0.919
0.414 0.919 0.414
0.500 0.500 0.500
0.586 0.081 0.586
0.586 0.586 0.081
0.666 0.666 0.666
0.919 0.414 0.414
0.139 0.139 0.139
0.861 0.861 0.861
```

Values from the calculation:
* total DFT energy (no corrections): -3.02 eV/atom
* SG: R-3m, No. 166
* DOS at the Fermi energy: 4.460 states/eV/cell
* crystal system: trigonal

No. 3
# Ca6Ag5Bi

A geometry-optimized Ca6Ag5Bi structure (PBE, the Alexandria database).

Structure (POSCAR):
```
Ca6Ag5Bi
1.0
-2.615 3.819 7.957
2.615 -3.819 7.957
2.615 3.819 -7.957
Ca Ag Bi
6 5 1
Direct
0.078 0.331 0.747
0.242 0.000 0.242
0.416 0.669 0.747
0.584 0.331 0.253
0.758 0.000 0.758
0.922 0.669 0.253
0.000 0.500 0.500
0.167 0.167 0.000
0.329 0.829 0.500
0.671 0.171 0.500
0.833 0.833 0.000
0.500 0.500 0.000
```

Values from the calculation:
* total DFT energy (no corrections): -2.92 eV/atom
* SG: Immm, No. 71
* DOS at the Fermi energy: 6.168 states/eV/cell
* crystal system: orthorhombic

No. 4
# CaAgBi

A geometry-optimized CaAgBi structure (PBE, the Alexandria database).

Structure (POSCAR):
```
CaAgBi
1.0
4.268 0.000 0.000
0.000 4.268 0.000
0.000 0.000 9.161
Ca Ag Bi
2 2 2
Direct
0.000 0.000 0.000
0.500 0.500 0.500
0.000 0.000 0.666
0.500 0.500 0.166
0.000 0.000 0.338
0.500 0.500 0.838
```

Values from the calculation:
* total DFT energy (no corrections): -3.21 eV/atom
* SG: I4mm, No. 107
* DOS at the Fermi energy: 3.376 states/eV/cell
* crystal system: tetragonal